Entry 1:
Material: V4CrGa4
Method: DFT, GGA-PBE
State: optimized geometry

Cell: 8.774 8.774 3.261 Å, 90.00 90.00 90.00°
Space group I4/mmm (No. 139)
Asymmetric unit:
V1 0.000 0.339 0.000
Cr1 0.000 0.000 0.000
Ga1 0.165 0.165 0.500

Values from the calculation:
Formation energy ... -12 kJ/mol of atoms
Calculated volume ... 125.5 Å³/f.u.


Entry 2:
Material: Cr4Mo5
Method: DFT, GGA-PBE
State: optimized geometry

Cell: 9.119 9.119 3.057 Å, 90.00 90.00 90.00°
Space group I4/mmm (No. 139)
Asymmetric unit:
Cr1 0.000 0.344 0.000
Mo1 0.000 0.000 0.000
Mo2 0.169 0.169 0.500

Values from the calculation:
Formation energy ... 8 kJ/mol of atoms
Energy relative to the lowest polymorph listed for this composition ... 0 meV/atom
Calculated volume ... 127.1 Å³/f.u.


Entry 3:
Material: NpTl2In
Method: DFT, GGA-PBE
State: optimized geometry

Cell: 4.730 4.730 4.721 Å, 90.00 90.00 90.00°
Space group P4/mmm (No. 123)
Asymmetric unit:
Np1 0.000 0.000 0.000
Tl1 0.000 0.500 0.500
In1 0.500 0.500 0.000

Values from the calculation:
Formation energy ... 15 kJ/mol of atoms
Calculated volume ... 105.6 Å³/f.u.


Entry 4:
Material: Ce2SbPb
Method: DFT, GGA-PBE
State: optimized geometry

Cell: 4.3334 4.3334 24.6797 Å, 90.00 90.00 120.00°
Space group R3m (No. 160, hexagonal axes)
Asymmetric unit:
Ce1 0.0000 0.0000 0.0000
Ce2 0.0000 0.0000 0.1785
Sb1 0.0000 0.0000 0.5905
Pb1 0.0000 0.0000 0.4216

Values from the calculation:
Energy relative to the lowest polymorph listed for this composition ... 113 meV/atom
Calculated volume ... 133.8 Å³/f.u.
E_form (uncorrected) ... -0.552 eV/atom


Entry 5:
Material: AgHg2Au
Method: DFT, GGA-PBE
State: optimized geometry

Cell: 3.1571 3.1571 28.5652 Å, 90.00 90.00 120.00°
Space group R-3m (No. 166, hexagonal axes)
Asymmetric unit:
Ag1 0.0000 0.0000 0.0000
Hg1 0.0000 0.0000 0.2507
Au1 0.0000 0.0000 0.5000

Values from the calculation:
Formation energy ... 8 kJ/mol of atoms
Calculated volume ... 82.2 Å³/f.u.


Entry 6:
Material: Th6SiSb2Se3
Method: DFT, GGA-PBE
State: optimized geometry

Cell: 18.682 4.328 8.641 Å, 90.00 101.01 90.00°
Space group C2/m (No. 12)
Asymmetric unit:
Th1 0.005 0.000 0.265
Th2 0.160 0.500 0.100
Th3 0.160 0.500 0.569
Si1 0.000 0.500 0.500
Sb1 0.167 0.000 0.839
Se1 0.000 0.500 0.000
Se2 0.172 0.000 0.339

Values from the calculation:
Calculated volume ... 342.9 Å³/f.u.
E_form (uncorrected) ... -1.201 eV/atom


Entry 7:
Material: CdB2N
Method: DFT, GGA-PBE
State: optimized geometry

Cell: 4.754 4.754 7.396 Å, 90.00 90.00 90.00°
Space group I-42d (No. 122)
Asymmetric unit:
Cd1 0.000 0.000 0.000
B1 0.126 0.250 0.625
N1 0.000 0.000 0.500

Values from the calculation:
Energy relative to the lowest polymorph listed for this composition ... 0 meV/atom
Calculated volume ... 41.8 Å³/f.u.
E_form (uncorrected) ... 0.674 eV/atom


Entry 8:
Material: CaLu2Cu
Method: DFT, GGA-PBE
State: optimized geometry

Cell: 3.453 3.453 9.103 Å, 90.00 90.00 90.00°
Space group P4/mmm (No. 123)
Asymmetric unit:
Ca1 0.000 0.000 0.000
Lu1 0.500 0.500 0.321
Cu1 0.000 0.000 0.500

Values from the calculation:
Formation energy ... -7 kJ/mol of atoms
Energy relative to the lowest polymorph listed for this composition ... 0 meV/atom
Calculated volume ... 108.6 Å³/f.u.